(1)
Compound: SbPt2Cl
Source: Alexandria via LeMat-Bulk
Functional: GGA-PBE
Structure: optimized geometry Values from VASP.

Values from the calculation:
The density of states at the Fermi level comes out at 5.23 states/eV/f.u. The calculation puts the total magnetization at 0.0 μB/f.u. Its space-group type is P4mm (99). For the uncorrected formation energy, the calculation gives 2.3 kJ/mol of atoms.

```
&SYSTEM
  ibrav = 0, nat = 4, ntyp = 3
/
ATOMIC_SPECIES
Pt 195.08 Pt.upf
Sb 121.76 Sb.upf
Cl 35.45 Cl.upf
CELL_PARAMETERS angstrom
3.435 0.000 0.000
0.000 3.440 0.000
0.000 0.000 7.227
ATOMIC_POSITIONS crystal
Pt 0.000 0.000 0.035
Pt 0.500 0.500 0.230
Sb 0.000 0.000 0.415
Cl 0.500 0.500 0.820
```



(2)
Compound: Fe2CuAs
Source: Alexandria via LeMat-Bulk
Functional: GGA-PBE
Structure: optimized geometry Values from VASP.

Values from the calculation:
Its energy of formation is 0.168 eV per atom. The density of states at the Fermi level comes out at 3.61 states/eV/f.u. The calculation puts the total magnetization at 4.9 μB/f.u. Its space-group type is Pmmm (47).

```
&SYSTEM
  ibrav = 0, nat = 4, ntyp = 3
/
ATOMIC_SPECIES
Fe 55.84 Fe.upf
As 74.92 As.upf
Cu 63.55 Cu.upf
CELL_PARAMETERS angstrom
2.799 0.000 0.000
0.000 3.606 0.000
0.000 0.000 5.082
ATOMIC_POSITIONS crystal
Fe 0.000 0.000 0.499
As 0.500 0.500 0.250
Cu 0.500 0.500 0.750
Fe 0.000 0.000 0.001
```